Below is a geometry-optimized ZnOsBr2 structure, with properties calculated at the GGA-PBEsol level.

formation energy from raw total energies	0.19	eV per atom
relative energy among the computed polymorphs	0.000	eV per atom
electronic total energy	-4.1912	eV per atom

a b c (Å): 3.942 3.140 7.322
angles (deg): 90.00 105.55 90.00
Space group Pm (No. 6)
Unique sites:
Zn (0.000, 0.000, 0.000) (multiplicity 1)
Os (0.463, 0.500, 0.926) (multiplicity 1)
Br (0.329, 0.000, 0.657) (multiplicity 1)
Br (0.636, 0.500, 0.272) (multiplicity 1)

***

Below is a geometry-optimized TaTeS2N structure, with properties calculated at the GGA-PBEsol level.

formation energy from raw total energies	-0.05	eV per atom
relative energy among the computed polymorphs	0.000	eV per atom
electronic total energy	-6.7218	eV per atom

a b c (Å): 4.897 4.897 3.878
angles (deg): 90.00 90.00 90.00
Space group P4/mmm (No. 123)
Unique sites:
Ta (0.000, 0.000, 0.000) (multiplicity 1)
Te (0.500, 0.500, 0.500) (multiplicity 1)
S (0.000, 0.500, 0.000) (multiplicity 2)
N (0.000, 0.000, 0.500) (multiplicity 1)

***

Below is a geometry-optimized Na2YHgSb structure, with properties calculated at the GGA-PBEsol level.

formation energy from raw total energies	0.03	eV per atom
electronic total energy	-2.9229	eV per atom

a b c (Å): 5.144 5.144 5.799
angles (deg): 90.00 90.00 90.00
Space group P4/mmm (No. 123)
Unique sites:
Na (0.000, 0.500, 0.000) (multiplicity 2)
Y (0.000, 0.000, 0.500) (multiplicity 1)
Hg (0.000, 0.000, 0.000) (multiplicity 1)
Sb (0.500, 0.500, 0.500) (multiplicity 1)

***

Below is a geometry-optimized MnTc2Br structure, with properties calculated at the GGA-PBEsol level.

formation energy from raw total energies	0.63	eV per atom
relative energy among the computed polymorphs	0.163	eV per atom
electronic total energy	-7.9072	eV per atom

a b c (Å): 9.289 2.943 4.354
angles (deg): 90.00 95.02 90.00
Space group C2/m (No. 12)
Unique sites:
Mn (0.000, 0.000, 0.000) (multiplicity 2)
Tc (0.218, 0.500, 0.215) (multiplicity 4)
Br (0.000, 0.500, 0.500) (multiplicity 2)

***

Below is a geometry-optimized Ca4AsCl structure, with properties calculated at the GGA-PBEsol level.

formation energy from raw total energies	-0.04	eV per atom
electronic total energy	-2.6459	eV per atom

a b c (Å): 9.137 9.137 9.137
angles (deg): 90.00 90.00 90.00
Space group F-43m (No. 216)
Unique sites:
Ca (0.123, 0.123, 0.123) (multiplicity 16)
As (0.250, 0.250, 0.750) (multiplicity 4)
Cl (0.000, 0.000, 0.500) (multiplicity 4)

***

Below is a geometry-optimized Ag2AsPt structure, with properties calculated at the GGA-PBEsol level.

energy of formation from the pure elements	0.0	eV/f.u.
electronic total energy	-4.6642	eV per atom

a b c (Å): 2.9534 2.9534 26.4642
angles (deg): 90.00 90.00 120.00
Space group R3m (No. 160, hexagonal axes)
Unique sites:
Ag (0.0000, 0.0000, 0.0000) (multiplicity 3)
Ag (0.0000, 0.0000, 0.2477) (multiplicity 3)
As (0.0000, 0.0000, 0.4905) (multiplicity 3)
Pt (0.0000, 0.0000, 0.7526) (multiplicity 3)

***

Below is a geometry-optimized CsTe2Pb2 structure, with properties calculated at the GGA-PBEsol level.

formation energy from raw total energies	-0.48	eV per atom
electronic total energy	-3.6824	eV per atom

a b c (Å): 5.903 5.903 11.051
angles (deg): 90.00 90.00 90.00
Space group I4/mmm (No. 139)
Unique sites:
Cs (0.000, 0.000, 0.000) (multiplicity 2)
Te (0.000, 0.500, 0.250) (multiplicity 4)
Pb (0.000, 0.000, 0.351) (multiplicity 4)

***

Below is a geometry-optimized HoMg2 structure, with properties calculated at the GGA-PBEsol level.

energy of formation from the pure elements	-0.1	eV/f.u.
electronic total energy	-2.8439	eV per atom

a b c (Å): 8.422 8.422 8.422
angles (deg): 90.00 90.00 90.00
Space group Fd-3m (No. 227, origin choice 2)
Unique sites:
Ho (0.125, 0.125, 0.125) (multiplicity 8)
Mg (0.000, 0.000, 0.500) (multiplicity 16)

***

Below is a geometry-optimized TeP2ICl structure, with properties calculated at the GGA-PBEsol level.

formation energy from raw total energies	0.78	eV per atom
electronic total energy	-2.9999	eV per atom

a b c (Å): 5.168 5.168 5.056
angles (deg): 90.00 90.00 90.00
Space group P4/mmm (No. 123)
Unique sites:
Te (0.000, 0.000, 0.000) (multiplicity 1)
P (0.000, 0.500, 0.000) (multiplicity 2)
I (0.500, 0.500, 0.500) (multiplicity 1)
Cl (0.000, 0.000, 0.500) (multiplicity 1)

***

Below is a geometry-optimized Zn4CuSb structure, with properties calculated at the GGA-PBEsol level.

formation energy from raw total energies	0.19	eV per atom
electronic total energy	-2.3416	eV per atom

a b c (Å): 7.259 7.259 7.259
angles (deg): 90.00 90.00 90.00
Space group F-43m (No. 216)
Unique sites:
Zn (0.124, 0.124, 0.124) (multiplicity 16)
Cu (0.250, 0.250, 0.750) (multiplicity 4)
Sb (0.000, 0.000, 0.500) (multiplicity 4)

***

Below is a geometry-optimized Ca2Mg structure, with properties calculated at the GGA-PBEsol level.

energy of formation from the pure elements	-0.1	eV/f.u.
electronic total energy	-2.0272	eV per atom

a b c (Å): 8.099 8.099 6.420
angles (deg): 90.00 90.00 90.00
Space group I4/mcm (No. 140)
Unique sites:
Ca (0.162, 0.338, 0.000) (multiplicity 8)
Mg (0.000, 0.000, 0.250) (multiplicity 4)

***

Below is a geometry-optimized IrSe2Br structure, with properties calculated at the GGA-PBEsol level.

formation energy from raw total energies	0.76	eV per atom
relative energy among the computed polymorphs	1.001	eV per atom
electronic total energy	-4.0837	eV per atom

a b c (Å): 4.851 4.851 2.985
angles (deg): 90.00 90.00 90.00
Space group P4/mmm (No. 123)
Unique sites:
Ir (0.000, 0.000, 0.000) (multiplicity 1)
Se (0.000, 0.500, 0.500) (multiplicity 2)
Br (0.500, 0.500, 0.000) (multiplicity 1)

***

Below is a geometry-optimized Ta2TlTc structure, with properties calculated at the GGA-PBEsol level.

energy of formation from the pure elements	1.7	eV/f.u.
relative energy among the computed polymorphs	0.158	eV per atom
electronic total energy	-9.3301	eV per atom

a b c (Å): 6.534 6.534 6.534
angles (deg): 90.00 90.00 90.00
Space group F-43m (No. 216)
Unique sites:
Ta (0.000, 0.000, 0.000) (multiplicity 4)
Ta (0.250, 0.250, 0.250) (multiplicity 4)
Tl (0.000, 0.000, 0.500) (multiplicity 4)
Tc (0.250, 0.250, 0.750) (multiplicity 4)

***

Below is a geometry-optimized TaTiTc2 structure, with properties calculated at the GGA-PBEsol level.

energy of formation from the pure elements	-2.0	eV/f.u.
electronic total energy	-11.3596	eV per atom

a b c (Å): 6.220 6.220 6.220
angles (deg): 90.00 90.00 90.00
Space group Fm-3m (No. 225)
Unique sites:
Ta (0.000, 0.000, 0.000) (multiplicity 4)
Ti (0.000, 0.000, 0.500) (multiplicity 4)
Tc (0.250, 0.250, 0.250) (multiplicity 8)

***

Below is a geometry-optimized CsNa2H3S3O12 structure, with properties calculated at the GGA-PBEsol level.

electronic total energy	-5.8500	eV per atom

a b c (Å): 10.532 10.532 10.532
angles (deg): 90.00 90.00 90.00
Space group P2_13 (No. 198)
Unique sites:
Cs (0.051, 0.051, 0.051) (multiplicity 4)
Na (0.103, 0.897, 0.397) (multiplicity 4)
Na (0.178, 0.678, 0.822) (multiplicity 4)
H (0.002, 0.855, 0.651) (multiplicity 12)
S (0.011, 0.711, 0.120) (multiplicity 12)
O (0.011, 0.797, 0.228) (multiplicity 12)
O (0.018, 0.096, 0.747) (multiplicity 12)
O (0.029, 0.576, 0.160) (multiplicity 12)
O (0.070, 0.870, 0.720) (multiplicity 12)

***

Below is a geometry-optimized CsAlGe structure, with properties calculated at the GGA-PBEsol level.

energy of formation from the pure elements	-0.6	eV/f.u.
electronic total energy	-3.5284	eV per atom

a b c (Å): 4.336 4.336 9.144
angles (deg): 90.00 90.04 90.00
Space group P2_1/m (No. 11)
Unique sites:
Cs (0.249, 0.250, 0.155) (multiplicity 2)
Al (0.250, 0.750, 0.500) (multiplicity 2)
Ge (0.250, 0.250, 0.665) (multiplicity 2)

***

Below is a geometry-optimized CaY2Tc structure, with properties calculated at the GGA-PBEsol level.

energy of formation from the pure elements	1.7	eV/f.u.
relative energy among the computed polymorphs	0.390	eV per atom
electronic total energy	-6.3301	eV per atom

a b c (Å): 4.662 4.662 8.805
angles (deg): 90.00 90.00 90.00
Space group I-4m2 (No. 119)
Unique sites:
Ca (0.000, 0.000, 0.000) (multiplicity 2)
Y (0.000, 0.000, 0.500) (multiplicity 2)
Y (0.000, 0.500, 0.750) (multiplicity 2)
Tc (0.000, 0.500, 0.250) (multiplicity 2)

***

Below is a geometry-optimized Li5Mg structure, with properties calculated at the GGA-PBEsol level.

energy of formation from the pure elements	-0.1	eV/f.u.
relative energy among the computed polymorphs	0.000	eV per atom
electronic total energy	-1.9468	eV per atom

a b c (Å): 5.2688 5.2688 4.9426
angles (deg): 90.00 90.00 120.00
Space group P-62m (No. 189)
Unique sites:
Li (0.0000, 0.6651, 0.0000) (multiplicity 3)
Li (0.3333, 0.6667, 0.5000) (multiplicity 2)
Mg (0.0000, 0.0000, 0.5000) (multiplicity 1)

***

Below is a geometry-optimized K4Hg structure, with properties calculated at the GGA-PBEsol level.

energy of formation from the pure elements	-0.1	eV/f.u.
relative energy among the computed polymorphs	0.047	eV per atom
electronic total energy	-1.0442	eV per atom

a b c (Å): 8.251 8.251 8.251
angles (deg): 90.00 90.00 90.00
Space group Im-3m (No. 229)
Unique sites:
K (0.250, 0.250, 0.250) (multiplicity 8)
Hg (0.000, 0.000, 0.000) (multiplicity 2)

***

Below is a geometry-optimized Ta3GeC structure, with properties calculated at the GGA-PBEsol level.

energy of formation from the pure elements	12.8	eV/f.u.
electronic total energy	-7.8808	eV per atom

a b c (Å): 4.664 4.664 4.664
angles (deg): 90.00 90.00 90.00
Space group Pm-3m (No. 221)
Unique sites:
Ta (0.000, 0.000, 0.500) (multiplicity 3)
Ge (0.000, 0.000, 0.000) (multiplicity 1)
C (0.500, 0.500, 0.500) (multiplicity 1)